Record 1
This record from the Alexandria database describes an optimized crystal structure of Mg3PN. The functional is PBE.

The structure in POSCAR format:
```
Mg3PN
1.0
6.4474 0.0001 0.0047
0.0001 4.0385 -0.0004
-0.3552 2.0192 7.0693
N P Mg
2 2 6
Direct
0.6896 0.3560 0.4269 N
0.3193 0.2167 0.7059 N
0.1414 0.9257 0.2874 P
0.8673 0.6470 0.8454 P
0.6371 0.2039 0.7321 Mg
0.1181 0.1076 0.9236 Mg
0.2286 0.7382 0.6627 Mg
0.3718 0.3693 0.4005 Mg
0.8907 0.4644 0.2093 Mg
0.7801 0.8343 0.4702 Mg
```

Calculated values
Space-group type: C2/m, No. 12
ΔE to the lowest computed polymorph: 85 meV per atom
Uncorrected energy: -43.57 eV per cell
ΔE_f (raw): -653 meV/atom
Calculated density: 2.1 g/cm3

Record 2
This record from the Alexandria database describes an optimized crystal structure of CsIr3F. The functional is PBE.

The structure in POSCAR format:
```
CsIr3F
1.0
5.1482 0.0000 0.0000
0.0000 5.1482 0.0000
0.0000 0.0000 5.1482
F Ir Cs
1 3 1
Direct
0.5000 0.5000 0.5000 F
0.0000 0.5000 0.0000 Ir
0.5000 0.0000 0.0000 Ir
0.0000 0.0000 0.5000 Ir
0.0000 0.0000 0.0000 Cs
```

Calculated values
Space-group type: Pm-3m, No. 221
ΔE to the lowest computed polymorph: 1347 meV per atom
Uncorrected energy: -13.66 eV per cell
ΔE_f (raw): 3130 meV/atom
Calculated density: 8.9 g/cm3

Record 3
This record from the Alexandria database describes an optimized crystal structure of TbSmTm2N4. The functional is PBE.

The structure in POSCAR format:
```
TbSmTm2N4
1.0
3.4737 0.0000 0.0000
0.0000 6.0140 0.1072
0.0000 -2.1029 5.6384
Sm Tm N Tb
1 2 4 1
Direct
0.5000 0.5000 0.0000 Sm
0.5000 0.0000 0.5000 Tm
0.0000 0.5000 0.5000 Tm
0.5000 0.2500 0.2575 N
0.0000 0.7557 0.2595 N
0.0000 0.2443 0.7405 N
0.5000 0.7500 0.7425 N
0.0000 0.0000 0.0000 Tb
```

Calculated values
Space-group type: P2/m, No. 10
Uncorrected energy: -65.06 eV per cell
ΔE_f (raw): -1683 meV/atom
Calculated density: 9.8 g/cm3

Record 4
This record from the Alexandria database describes an optimized crystal structure of HoH4Pd. The functional is PBE.

The structure in POSCAR format:
```
HoH4Pd
1.0
-3.2524 1.3761 -0.9576
1.1750 -0.6014 -4.8552
-0.7340 -6.2172 0.5925
H Ho Pd
8 2 2
Direct
0.3006 0.0194 0.6008 H
0.9138 0.2915 0.8248 H
0.6994 0.0636 0.3992 H
0.5000 0.5415 0.0000 H
0.5000 0.0415 0.0000 H
0.0862 0.7915 0.1752 H
0.3006 0.5636 0.6008 H
0.6994 0.5194 0.3992 H
0.1403 0.2915 0.2835 Ho
0.8597 0.7915 0.7165 Ho
0.5940 0.7915 0.1926 Pd
0.4060 0.2915 0.8074 Pd
```

Calculated values
Space-group type: P2_1/m, No. 11
Uncorrected energy: -51.71 eV per cell
Calculated density: 8.3 g/cm3